(1)
# Li2Tb2Pd5

An optimized crystal structure of Li2Tb2Pd5 (PBE, Alexandria via LeMat-Bulk).

Results
DFT formation energy = -662 meV per atom

abc: 6.596 6.010 9.033
angles: 109.43 111.41 90.00
Atoms (fractional coordinates):
Li  0.074  0.610  0.146
Li  0.926  0.464  0.854
Li  0.572  0.110  0.146
Li  0.428  0.964  0.854
Tb  0.000  0.037  0.000
Tb  0.500  0.537  0.000
Tb  0.249  0.288  0.500
Tb  0.751  0.788  0.500
Pd  0.122  0.659  0.744
Pd  0.878  0.915  0.256
Pd  0.122  0.159  0.744
Pd  0.878  0.415  0.256
Pd  0.378  0.916  0.257
Pd  0.622  0.659  0.743
Pd  0.379  0.416  0.257
Pd  0.621  0.159  0.743
Pd  0.249  0.787  0.500
Pd  0.751  0.287  0.500

(2)
# LiHoHgPt

An optimized crystal structure of LiHoHgPt (PBE, Alexandria via LeMat-Bulk).

Results
DFT formation energy = -648 meV per atom

abc: 4.831 4.831 4.831
angles: 60.00 60.00 60.00
Atoms (fractional coordinates):
Li  0.750  0.750  0.750
Hg  0.500  0.500  0.500
Pt  0.000  0.000  0.000
Ho  0.250  0.250  0.250

(3)
# Cr2CuAg

An optimized crystal structure of Cr2CuAg (PBE, Alexandria via LeMat-Bulk).

Results
DFT formation energy = 608 meV per atom
E above lowest polymorph = 0.322 eV per atom

abc: 4.420 4.420 3.225
angles: 90.00 90.00 90.00
Atoms (fractional coordinates):
Ag  0.000  0.500  0.500
Cr  0.000  0.000  0.000
Cr  0.500  0.500  0.000
Cu  0.500  0.000  0.500

(4)
# CaPrGaPd

An optimized crystal structure of CaPrGaPd (PBE, Alexandria via LeMat-Bulk).

Results
DFT formation energy = -611 meV per atom
E above lowest polymorph = 0.000 eV per atom

abc: 4.026 4.468 6.018
angles: 90.00 109.55 90.00
Atoms (fractional coordinates):
Ca  0.142  0.000  0.284
Pr  0.855  0.500  0.711
Ga  0.570  0.500  0.139
Pd  0.433  0.000  0.865

(5)
# Mn3P

An optimized crystal structure of Mn3P (PBE, Alexandria via LeMat-Bulk).

Results
DFT formation energy = 31 meV per atom

abc: 4.532 4.532 4.532
angles: 116.45 116.45 116.45
Atoms (fractional coordinates):
Mn  0.000  0.000  0.000
Mn  0.500  0.000  0.500
Mn  0.500  0.500  0.000
P  0.000  0.500  0.500

(6)
# Co2BMo

An optimized crystal structure of Co2BMo (PBE, Alexandria via LeMat-Bulk).

Results
DFT formation energy = -277 meV per atom

abc: 4.453 6.201 11.948
angles: 90.00 90.00 90.00
Atoms (fractional coordinates):
Co  0.983  0.055  0.214
Co  0.483  0.945  0.286
Co  0.017  0.555  0.786
Co  0.517  0.445  0.714
Co  0.017  0.945  0.786
Co  0.517  0.055  0.714
Co  0.983  0.445  0.214
Co  0.483  0.555  0.286
Co  0.755  0.555  0.037
Co  0.255  0.445  0.463
Co  0.245  0.055  0.963
Co  0.745  0.945  0.537
Co  0.245  0.445  0.963
Co  0.745  0.555  0.537
Co  0.755  0.945  0.037
Co  0.255  0.055  0.463
B  0.262  0.250  0.317
B  0.762  0.750  0.183
B  0.738  0.750  0.683
B  0.238  0.250  0.817
B  0.974  0.250  0.068
B  0.474  0.750  0.432
B  0.026  0.750  0.932
B  0.526  0.250  0.568
Mo  0.479  0.250  0.138
Mo  0.979  0.750  0.362
Mo  0.521  0.750  0.862
Mo  0.021  0.250  0.638
Mo  0.765  0.250  0.390
Mo  0.265  0.750  0.110
Mo  0.235  0.750  0.610
Mo  0.735  0.250  0.890

Number 1: mass density 9.2 Mg/m³. Number 2: mass density 11.8 Mg/m³. Number 3: mass density 7.3 Mg/m³. Number 4: mass density 5.8 Mg/m³. Number 5: mass density 7.3 Mg/m³. Number 6: mass density 9.0 Mg/m³.